Below is SiHg2 after structural relaxation, with properties calculated at the PBE-GGA level.

## Properties
Fermi-level density of states (states/eV/f.u.): 1.21
Energy above the most stable polymorph in this dataset (kcal/mol of atoms): 7.647
Raw formation energy (kJ per mole of atoms): 49
Electronic total energy (hartree per atom): -0.0551

Cell: 5.246 5.246 5.602 Å, 90.00 90.00 120.00°
Fractional coordinates of all 6 atoms:
1 Si 0.333 0.667 0.250
2 Si 0.667 0.333 0.750
3 Hg 0.000 0.000 0.000
4 Hg 0.000 0.000 0.500
5 Hg 0.333 0.667 0.750
6 Hg 0.667 0.333 0.250


Below is Si7Hg5 after structural relaxation, with properties calculated at the PBE-GGA level.

## Properties
Fermi-level density of states (states/eV/f.u.): 4.29
Raw formation energy (kJ per mole of atoms): 34
Electronic total energy (hartree per atom): -0.1078

Cell: 6.953 6.953 6.953 Å, 105.14 105.14 118.52°
Fractional coordinates of all 12 atoms:
1 Si 0.000 0.000 0.000
2 Si 0.161 0.661 0.500
3 Si 0.218 0.914 0.304
4 Si 0.610 0.914 0.696
5 Si 0.661 0.161 0.500
6 Si 0.914 0.218 0.304
7 Si 0.914 0.610 0.696
8 Hg 0.167 0.167 0.630
9 Hg 0.167 0.537 0.000
10 Hg 0.537 0.167 0.000
11 Hg 0.537 0.537 0.370
12 Hg 0.631 0.631 0.000


Below is SiHg3 after structural relaxation, with properties calculated at the PBE-GGA level.

## Properties
Fermi-level density of states (states/eV/f.u.): 1.92
Energy above the most stable polymorph in this dataset (kcal/mol of atoms): 3.443
Raw formation energy (kJ per mole of atoms): 31
Electronic total energy (hartree per atom): -0.0462

Cell: 3.252 4.565 13.013 Å, 90.00 90.00 90.00°
Fractional coordinates of all 8 atoms:
1 Si 0.000 0.000 0.000
2 Si 0.500 0.500 0.500
3 Hg 0.000 0.000 0.500
4 Hg 0.000 0.500 0.306
5 Hg 0.000 0.500 0.694
6 Hg 0.500 0.000 0.194
7 Hg 0.500 0.000 0.806
8 Hg 0.500 0.500 0.000


Below is Si2Hg after structural relaxation, with properties calculated at the PBE-GGA level.

## Properties
Fermi-level density of states (states/eV/f.u.): 1.61
Energy above the most stable polymorph in this dataset (kcal/mol of atoms): 6.345
Raw formation energy (kJ per mole of atoms): 57
Electronic total energy (hartree per atom): -0.1150

Cell: 5.425 5.425 5.425 Å, 60.00 60.00 60.00°
Fractional coordinates of all 6 atoms:
1 Si 0.000 0.000 0.000
2 Si 0.000 0.000 0.500
3 Si 0.000 0.500 0.000
4 Si 0.500 0.000 0.000
5 Hg 0.375 0.375 0.375
6 Hg 0.625 0.625 0.625


Below is SiHg2 after structural relaxation, with properties calculated at the PBE-GGA level.

## Properties
Fermi-level density of states (states/eV/f.u.): 1.44
Energy above the most stable polymorph in this dataset (kcal/mol of atoms): 6.422
Raw formation energy (kJ per mole of atoms): 44
Electronic total energy (hartree per atom): -0.0571

Cell: 4.028 19.251 3.658 Å, 90.00 90.00 90.00°
Fractional coordinates of all 12 atoms:
1 Si 0.000 0.092 0.250
2 Si 0.000 0.908 0.750
3 Si 0.500 0.408 0.750
4 Si 0.500 0.592 0.250
5 Hg 0.000 0.210 0.750
6 Hg 0.000 0.433 0.250
7 Hg 0.000 0.567 0.750
8 Hg 0.000 0.790 0.250
9 Hg 0.500 0.067 0.750
10 Hg 0.500 0.290 0.250
11 Hg 0.500 0.710 0.750
12 Hg 0.500 0.933 0.250


Below is Si2Hg after structural relaxation, with properties calculated at the PBE-GGA level.

## Properties
Fermi-level density of states (states/eV/f.u.): 0.79
Energy above the most stable polymorph in this dataset (kcal/mol of atoms): 0.781
Raw formation energy (kJ per mole of atoms): 33
Electronic total energy (hartree per atom): -0.1239

Cell: 3.614 18.336 3.843 Å, 90.00 90.00 90.00°
Fractional coordinates of all 12 atoms:
1 Si 0.000 0.159 0.250
2 Si 0.000 0.246 0.750
3 Si 0.000 0.754 0.250
4 Si 0.000 0.841 0.750
5 Si 0.500 0.254 0.250
6 Si 0.500 0.341 0.750
7 Si 0.500 0.659 0.250
8 Si 0.500 0.746 0.750
9 Hg 0.000 0.435 0.250
10 Hg 0.000 0.565 0.750
11 Hg 0.500 0.065 0.750
12 Hg 0.500 0.935 0.250


Below is Si4Hg after structural relaxation, with properties calculated at the PBE-GGA level.

## Properties
Fermi-level density of states (states/eV/f.u.): 1.50
Energy above the most stable polymorph in this dataset (kcal/mol of atoms): 3.359
Raw formation energy (kJ per mole of atoms): 43
Electronic total energy (hartree per atom): -0.1452

Cell: 3.959 3.959 7.957 Å, 90.00 90.00 120.00°
Fractional coordinates of all 5 atoms:
1 Si 0.333 0.667 0.157
2 Si 0.333 0.667 0.454
3 Si 0.667 0.333 0.546
4 Si 0.667 0.333 0.843
5 Hg 0.000 0.000 0.000


Below is Si5Hg after structural relaxation, with properties calculated at the PBE-GGA level.

## Properties
Fermi-level density of states (states/eV/f.u.): 1.47
Energy above the most stable polymorph in this dataset (kcal/mol of atoms): 2.077
Raw formation energy (kJ per mole of atoms): 52
Electronic total energy (hartree per atom): -0.1480

Cell: 2.912 2.912 12.344 Å, 90.00 90.00 90.00°
Fractional coordinates of all 6 atoms:
1 Si 0.000 0.000 0.000
2 Si 0.000 0.000 0.270
3 Si 0.000 0.000 0.730
4 Si 0.500 0.500 0.135
5 Si 0.500 0.500 0.865
6 Hg 0.500 0.500 0.500